Record 1
{"formula": "BaLiSb2I", "functional": "PBE", "state": "relaxed", "lattice": [[6.5459, 0.0000, 0.0000], [0.0000, 6.5459, 0.0000], [0.0000, 0.0000, 6.6695]], "species": ["Ba", "Li", "Sb", "Sb", "I"], "frac_coords": [[0.0000, 0.0000, 0.0000], [0.5000, 0.5000, 0.5000], [0.0000, 0.5000, 0.0000], [0.5000, 0.0000, 0.0000], [0.0000, 0.0000, 0.5000]], "rho_g_cm3": 2.99, "de_polymorph_mev_per_atom": 721.7, "dft_energy_ev_per_cell": -12.63, "e_form_raw_ev_per_atom": 0.2008}

=====

Record 2
{"formula": "Pu3Ag5H12", "functional": "PBE", "state": "relaxed", "lattice": [[-6.1880, 6.1880, 6.1880], [6.1880, -6.1880, 6.1880], [6.1880, 6.1880, -6.1880]], "species": ["Pu", "Pu", "Pu", "Pu", "Pu", "Pu", "Pu", "Pu", "Pu", "Pu", "Pu", "Pu", "Ag", "Ag", "Ag", "Ag", "Ag", "Ag", "Ag", "Ag", "Ag", "Ag", "Ag", "Ag", "Ag", "Ag", "Ag", "Ag", "Ag", "Ag", "Ag", "Ag", "H", "H", "H", "H", "H", "H", "H", "H", "H", "H", "H", "H", "H", "H", "H", "H", "H", "H", "H", "H", "H", "H", "H", "H", "H", "H", "H", "H", "H", "H", "H", "H", "H", "H", "H", "H", "H", "H", "H", "H", "H", "H", "H", "H", "H", "H", "H", "H"], "frac_coords": [[0.1250, 0.2500, 0.3750], [0.1250, 0.3750, 0.7500], [0.2500, 0.3750, 0.1250], [0.2500, 0.8750, 0.6250], [0.3750, 0.1250, 0.2500], [0.3750, 0.7500, 0.1250], [0.6250, 0.2500, 0.8750], [0.6250, 0.8750, 0.7500], [0.7500, 0.1250, 0.3750], [0.7500, 0.6250, 0.8750], [0.8750, 0.6250, 0.2500], [0.8750, 0.7500, 0.6250], [0.0000, 0.0000, 0.0000], [0.0000, 0.0000, 0.5000], [0.0000, 0.5000, 0.0000], [0.0000, 0.5000, 0.5000], [0.1250, 0.7500, 0.8750], [0.1250, 0.8750, 0.2500], [0.2500, 0.1250, 0.8750], [0.2500, 0.6250, 0.3750], [0.3750, 0.2500, 0.6250], [0.3750, 0.6250, 0.7500], [0.5000, 0.0000, 0.0000], [0.5000, 0.0000, 0.5000], [0.5000, 0.5000, 0.0000], [0.5000, 0.5000, 0.5000], [0.6250, 0.3750, 0.2500], [0.6250, 0.7500, 0.3750], [0.7500, 0.3750, 0.6250], [0.7500, 0.8750, 0.1250], [0.8750, 0.1250, 0.7500], [0.8750, 0.2500, 0.1250], [0.0408, 0.2186, 0.1331], [0.0408, 0.3221, 0.9077], [0.0856, 0.7186, 0.6779], [0.0856, 0.8669, 0.4077], [0.0923, 0.6331, 0.4144], [0.0923, 0.9592, 0.6779], [0.1331, 0.0408, 0.2186], [0.1331, 0.5923, 0.9144], [0.1779, 0.2186, 0.5856], [0.1779, 0.4592, 0.5923], [0.2186, 0.1331, 0.0408], [0.2186, 0.5856, 0.1779], [0.2814, 0.3221, 0.9144], [0.2814, 0.4592, 0.3669], [0.3221, 0.9077, 0.0408], [0.3221, 0.9144, 0.2814], [0.3669, 0.2814, 0.4592], [0.3669, 0.5856, 0.9077], [0.4077, 0.0856, 0.8669], [0.4077, 0.8221, 0.5408], [0.4144, 0.0923, 0.6331], [0.4144, 0.8221, 0.7814], [0.4592, 0.3669, 0.2814], [0.4592, 0.5923, 0.1779], [0.5408, 0.4077, 0.8221], [0.5408, 0.6331, 0.7186], [0.5856, 0.1779, 0.2186], [0.5856, 0.9077, 0.3669], [0.5923, 0.1779, 0.4592], [0.5923, 0.9144, 0.1331], [0.6331, 0.4144, 0.0923], [0.6331, 0.7186, 0.5408], [0.6779, 0.0856, 0.7186], [0.6779, 0.0923, 0.9592], [0.7186, 0.5408, 0.6331], [0.7186, 0.6779, 0.0856], [0.7814, 0.4144, 0.8221], [0.7814, 0.8669, 0.9592], [0.8221, 0.5408, 0.4077], [0.8221, 0.7814, 0.4144], [0.8669, 0.4077, 0.0856], [0.8669, 0.9592, 0.7814], [0.9077, 0.0408, 0.3221], [0.9077, 0.3669, 0.5856], [0.9144, 0.1331, 0.5923], [0.9144, 0.2814, 0.3221], [0.9592, 0.6779, 0.0923], [0.9592, 0.7814, 0.8669]], "rho_g_cm3": 8.99, "dft_energy_ev_per_cell": -390.36}

=====

Record 3
{"formula": "Cd9In4Hg11", "functional": "PBE", "state": "relaxed", "lattice": [[3.3886, 0.0000, 0.0000], [-1.2939, 13.2350, 0.0000], [-0.7769, -5.1248, 13.4988]], "species": ["Cd", "Cd", "Cd", "Cd", "Cd", "Cd", "Cd", "Cd", "Cd", "In", "In", "In", "In", "Hg", "Hg", "Hg", "Hg", "Hg", "Hg", "Hg", "Hg", "Hg", "Hg", "Hg"], "frac_coords": [[0.0000, 0.0000, 0.0000], [0.0684, 0.6931, 0.4963], [0.2609, 0.0989, 0.6488], [0.3171, 0.5045, 0.7016], [0.4877, 0.3591, 0.9116], [0.5123, 0.6409, 0.0884], [0.6829, 0.4955, 0.2984], [0.7391, 0.9011, 0.3512], [0.9316, 0.3069, 0.5037], [0.3531, 0.9315, 0.7750], [0.4303, 0.7782, 0.9190], [0.5697, 0.2218, 0.0810], [0.6469, 0.0685, 0.2250], [0.0661, 0.8502, 0.1375], [0.0972, 0.4383, 0.1065], [0.1555, 0.6957, 0.2894], [0.1695, 0.2907, 0.2943], [0.3377, 0.1041, 0.4408], [0.5000, 0.5000, 0.5000], [0.6623, 0.8959, 0.5592], [0.8305, 0.7093, 0.7057], [0.8445, 0.3043, 0.7106], [0.9028, 0.5617, 0.8935], [0.9339, 0.1498, 0.8625]], "rho_g_cm3": 10.09, "dft_energy_ev_per_cell": -22.11}

=====

Record 4
{"formula": "PmB2H7", "functional": "PBE", "state": "relaxed", "lattice": [[2.8851, -4.0797, 0.0000], [2.8851, 4.0797, 0.0000], [0.0000, 0.0000, 3.1456]], "species": ["Pm", "B", "B", "H", "H", "H", "H", "H", "H", "H"], "frac_coords": [[0.0000, 0.0000, 0.0000], [0.3314, 0.6686, 0.5000], [0.6686, 0.3314, 0.5000], [0.1386, 0.4170, 0.5000], [0.2968, 0.7032, 0.0000], [0.4170, 0.1386, 0.5000], [0.5000, 0.5000, 0.5000], [0.5830, 0.8614, 0.5000], [0.7032, 0.2968, 0.0000], [0.8614, 0.5830, 0.5000]], "rho_g_cm3": 3.89, "dft_energy_ev_per_cell": -38.51}

=====

Record 5
{"formula": "Si4Ir", "functional": "PBE", "state": "relaxed", "lattice": [[5.7571, 0.0000, 0.0000], [0.0000, 5.7571, 0.0000], [0.0000, 0.0000, 4.2771]], "species": ["Si", "Si", "Si", "Si", "Si", "Si", "Si", "Si", "Ir", "Ir"], "frac_coords": [[0.1080, 0.2981, 0.0000], [0.2019, 0.6080, 0.5000], [0.2981, 0.8920, 0.0000], [0.3920, 0.2019, 0.5000], [0.6080, 0.7981, 0.5000], [0.7019, 0.1080, 0.0000], [0.7981, 0.3920, 0.5000], [0.8920, 0.7019, 0.0000], [0.0000, 0.0000, 0.5000], [0.5000, 0.5000, 0.0000]], "rho_g_cm3": 7.14, "de_polymorph_mev_per_atom": 0.0, "dft_energy_ev_per_cell": -59.27, "e_form_raw_ev_per_atom": 0.1839}

=====

Record 6
{"formula": "CeSmErTm3", "functional": "PBE", "state": "relaxed", "lattice": [[2.8703, -5.6882, 0.0000], [2.8703, 5.6882, 0.0000], [0.0000, 0.0000, 11.4966]], "species": ["Ce", "Ce", "Sm", "Sm", "Er", "Er", "Tm", "Tm", "Tm", "Tm", "Tm", "Tm"], "frac_coords": [[0.0013, 0.9987, 0.7500], [0.9987, 0.0013, 0.2500], [0.5000, 0.5000, 0.0000], [0.5000, 0.5000, 0.5000], [0.3267, 0.6733, 0.7500], [0.6733, 0.3267, 0.2500], [0.1718, 0.8282, 0.0016], [0.1718, 0.8282, 0.4984], [0.3286, 0.6714, 0.2500], [0.6714, 0.3286, 0.7500], [0.8282, 0.1718, 0.5016], [0.8282, 0.1718, 0.9984]], "rho_g_cm3": 8.53, "dft_energy_ev_per_cell": -55.52}

=====

Record 7
{"formula": "RbMgI3", "functional": "PBE", "state": "relaxed", "lattice": [[6.7072, 0.0000, 0.0000], [0.0000, 6.7072, 0.0000], [0.0000, 0.0000, 6.7072]], "species": ["Rb", "Mg", "I", "I", "I"], "frac_coords": [[0.0000, 0.0000, 0.0000], [0.5000, 0.5000, 0.5000], [0.0000, 0.0000, 0.5000], [0.0000, 0.5000, 0.0000], [0.5000, 0.0000, 0.0000]], "rho_g_cm3": 2.70, "dft_energy_ev_per_cell": -7.66, "e_form_raw_ev_per_atom": -0.0890}

=====

Record 8
{"formula": "Ba4NaHg", "functional": "PBE", "state": "relaxed", "lattice": [[4.3172, 0.0000, 0.0000], [0.0000, 4.3172, 0.0000], [0.0000, 0.0000, 16.3114]], "species": ["Ba", "Ba", "Ba", "Ba", "Na", "Hg"], "frac_coords": [[0.0000, 0.0000, 0.1206], [0.0000, 0.0000, 0.8794], [0.5000, 0.5000, 0.3336], [0.5000, 0.5000, 0.6664], [0.0000, 0.0000, 0.5000], [0.5000, 0.5000, 0.0000]], "rho_g_cm3": 4.22, "de_polymorph_mev_per_atom": 0.0, "dft_energy_ev_per_cell": -10.35}